[1]
The following is a GGA-PBEsol calculation of a relaxed structure of NaSICl2, from Alexandria.

Structure (extended XYZ):
```
5
Lattice="5.515 0.000 0.000 0.000 5.515 0.000 0.000 0.000 5.069" Properties=species:S:1:pos:R:3 pbc="T T T"
Na 0.000 0.000 0.000
S 2.757 2.757 0.000
I 2.757 2.757 2.535
Cl 0.000 2.757 2.535
Cl 2.757 0.000 2.535
```

Output
* symmetry: P4/mmm
* total magnetization: 0.000 μB per atom
* energy relative to the elements, uncorrected: -0.278 eV/atom

[2]
The following is a GGA-PBEsol calculation of a relaxed structure of PbBrCl, from Alexandria.

Structure (extended XYZ):
```
6
Lattice="4.544 0.000 0.000 0.000 4.544 0.000 0.000 0.000 7.749" Properties=species:S:1:pos:R:3 pbc="T T T"
Pb 1.136 1.136 1.828
Pb 3.408 3.408 5.921
Br 1.136 1.136 4.962
Br 3.408 3.408 2.788
Cl 1.136 3.408 0.000
Cl 3.408 1.136 0.000
```

Output
* symmetry: P4/nmm
* total magnetization: 0.000 μB per atom
* energy relative to the elements, uncorrected: -0.971 eV/atom

The lowest energy relative to the elements, uncorrected belongs to which entry? PbBrCl